Entry from Alexandria: a geometry-optimized PmHoTmAl structure (GGA-PBE).

Structure (POSCAR):
```
PmHoTmAl
1.0
-1.614 -2.345 -2.055
1.221 -2.604 2.013
-7.366 0.540 5.169
Pm Ho Tm Al
1 1 1 1
Cartesian
-0.542 0.040 0.380
-5.949 -2.053 4.016
-2.856 -2.280 1.846
-4.192 0.307 2.941
```

Computed properties:
Its density of states at the Fermi level is 3.1 states/eV per cell. The formation energy comes out at -0.199 eV per atom. Its energy above the most stable polymorph in this dataset is 0.000 eV/atom. As for the space group: P4mm.


Entry from Alexandria: a geometry-optimized PmHoTmAl structure (GGA-PBE).

Structure (POSCAR):
```
PmHoTmAl
1.0
-3.688 -1.981 3.344
0.286 -5.112 1.579
1.324 -1.171 5.058
Al Tm Ho Pm
1 1 1 1
Cartesian
-0.520 -2.066 2.495
-1.559 -6.198 7.486
0.000 0.000 0.000
-1.039 -4.132 4.991
```

Computed properties:
Its density of states at the Fermi level is 6.3 states/eV per cell. The formation energy comes out at -0.069 eV per atom. Its energy above the most stable polymorph in this dataset is 0.130 eV/atom. As for the space group: F-43m.


Entry from Alexandria: a geometry-optimized PmYHoAl structure (GGA-PBE).

Structure (POSCAR):
```
PmYHoAl
1.0
5.393 0.000 0.000
2.697 4.671 0.000
2.697 1.557 4.404
Y Al Ho Pm
1 1 1 1
Cartesian
8.090 4.671 3.303
5.393 3.114 2.202
0.000 0.000 0.000
2.697 1.557 1.101
```

Computed properties:
Its density of states at the Fermi level is 7.0 states/eV per cell. The formation energy comes out at -0.062 eV per atom. Its energy above the most stable polymorph in this dataset is 0.139 eV/atom. As for the space group: F-43m.


Entry from Alexandria: a geometry-optimized PmYHoAl structure (GGA-PBE).

Structure (POSCAR):
```
PmYHoAl
1.0
3.534 0.000 0.000
0.000 3.534 0.000
0.000 0.000 9.072
Pm Y Ho Al
1 1 1 1
Cartesian
0.000 0.000 0.670
1.767 1.767 7.079
1.767 1.767 3.275
0.000 0.000 5.167
```

Computed properties:
Its density of states at the Fermi level is 3.4 states/eV per cell. The formation energy comes out at -0.201 eV per atom. Its energy above the most stable polymorph in this dataset is 0.000 eV/atom. As for the space group: P4mm.


Entry from Alexandria: a geometry-optimized Pm2HoAl2Zn2 structure (GGA-PBE).

Structure (POSCAR):
```
Pm2HoAl2Zn2
1.0
-1.998 -4.047 0.227
0.093 -2.770 -3.570
7.280 -6.005 1.986
Pm Ho Al Zn
2 1 2 2
Cartesian
4.284 -4.592 0.813
1.090 -8.230 -2.169
0.000 0.000 0.000
4.479 -9.828 -0.842
0.896 -2.994 -0.515
0.139 -5.209 -1.676
5.235 -7.613 0.320
```

Computed properties:
Its density of states at the Fermi level is 4.0 states/eV per cell. The formation energy comes out at -0.317 eV per atom. As for the space group: R-3m.


Entry from Alexandria: a geometry-optimized PrHo2Al structure (GGA-PBE).

Structure (POSCAR):
```
PrHo2Al
1.0
3.594 0.000 0.000
1.797 3.113 0.000
1.797 1.038 10.553
Pr Ho Al
1 2 1
Cartesian
3.594 2.075 5.269
1.797 1.038 8.310
1.797 1.038 2.240
3.594 2.075 0.010
```

Computed properties:
Its density of states at the Fermi level is 4.8 states/eV per cell. The formation energy comes out at -0.068 eV per atom. Its energy above the most stable polymorph in this dataset is 0.128 eV/atom. As for the space group: R3m.